Material: Rb4Zn3Au5
Method: DFT, PBE
State: optimized geometry

Cell: 17.1617 4.9593 11.1591 Å, 90.00 114.36 90.00°
Space group C2/m (No. 12)
Symmetry-distinct sites (fractional):
Rb 0.0592 0.0000 0.3807
Rb 0.2222 0.5000 0.2066
Zn 0.0000 0.0000 0.0000
Zn 0.0675 0.5000 0.8421
Au 0.0000 0.5000 0.0000
Au 0.1186 0.5000 0.6632
Au 0.2198 0.5000 0.5276

## Properties
Total magnetic moment: 0.00 μB per atom
Calculated formation energy: -157 meV/atom
Volume: 432.6 Å³/f.u.